# 1
Compound: HfZrSnAu
Source: the Alexandria database
Functional: PBE
Structure: optimized geometry

Cell: 4.921 4.921 4.921 Å, 60.00 60.00 60.00°
Fractional positions:
Zr  0.500  0.500  0.500
Sn  0.250  0.250  0.250
Hf  0.000  0.000  0.000
Au  0.750  0.750  0.750

Formation energy from the elements: -333 meV/atom
M_tot: 0.00 μB/f.u.
Space group: F-43m, No. 216
Raw total energy: -6.78 eV per atom


# 2
Compound: SrHf3Au
Source: the Alexandria database
Functional: PBE
Structure: optimized geometry

Cell: 5.270 5.270 5.270 Å, 90.00 90.00 90.00°
Fractional positions:
Hf  0.000  0.000  0.500
Au  0.000  0.000  0.000
Hf  0.000  0.500  0.000
Hf  0.500  0.000  0.000
Sr  0.500  0.500  0.500

Formation energy from the elements: 598 meV/atom
M_tot: 0.90 μB/f.u.
Space group: Pm-3m, No. 221
Raw total energy: -6.37 eV per atom


# 3
Compound: SrHf2Au2
Source: the Alexandria database
Functional: PBE
Structure: optimized geometry

Cell: 8.233 8.233 3.400 Å, 90.00 90.00 90.00°
Fractional positions:
Sr  0.500  0.500  0.000
Hf  0.661  0.839  0.500
Au  0.128  0.372  0.000
Hf  0.339  0.161  0.500
Sr  0.000  0.000  0.000
Au  0.628  0.128  0.000
Au  0.872  0.628  0.000
Hf  0.161  0.661  0.500
Hf  0.839  0.339  0.500
Au  0.372  0.872  0.000

Formation energy from the elements: -163 meV/atom
M_tot: 0.00 μB/f.u.
Space group: P4/mbm, No. 127
Raw total energy: -5.79 eV per atom


# 4
Compound: Sr3HfAu
Source: the Alexandria database
Functional: PBE
Structure: optimized geometry

Cell: 6.103 6.103 6.103 Å, 90.00 90.00 90.00°
Fractional positions:
Sr  0.000  0.000  0.500
Hf  0.000  0.000  0.000
Sr  0.500  0.000  0.000
Sr  0.000  0.500  0.000
Au  0.500  0.500  0.500

Formation energy from the elements: 954 meV/atom
M_tot: 2.52 μB/f.u.
Space group: Pm-3m, No. 221
Raw total energy: -2.70 eV per atom